No. 1
Density functional theory data (PBE) for crystalline Sr2SbAsPd2OF2 at its relaxed geometry.

CIF file:
```
data_Sr2SbAsPd2OF2
_cell_length_a 4.3227
_cell_length_b 4.3227
_cell_length_c 17.4041
_cell_angle_alpha 90.00
_cell_angle_beta 90.00
_cell_angle_gamma 90.00
_space_group_name_H-M_alt 'I 4 m m'
_space_group_IT_number 107
_space_group_name_Hall 'I 4 -2'
loop_
_atom_site_label
_atom_site_type_symbol
_atom_site_fract_x
_atom_site_fract_y
_atom_site_fract_z
Sr1 Sr 0.0000 0.0000 0.0000
Sr2 Sr 0.0000 0.0000 0.3461
Sb1 Sb 0.0000 0.0000 0.5928
As1 As 0.0000 0.0000 0.7716
Pd1 Pd 0.0000 0.5000 0.1909
O1 O 0.0000 0.0000 0.2005
F1 F 0.0000 0.5000 0.4265
```

For the final energy, the calculation gives -5.154 eV/atom.

=====

No. 2
Density functional theory data (PBE) for crystalline SiOs2Br at its relaxed geometry.

CIF file:
```
data_SiOs2Br
_cell_length_a 2.9585
_cell_length_b 2.9585
_cell_length_c 8.4391
_cell_angle_alpha 90.00
_cell_angle_beta 90.00
_cell_angle_gamma 120.00
_space_group_name_H-M_alt 'P 3 m 1'
_space_group_IT_number 156
loop_
_space_group_symop_operation_xyz
'x,y,z'
'-y,x-y,z'
'-x+y,-x,z'
'-y,-x,z'
'-x+y,y,z'
'x,x-y,z'
loop_
_atom_site_label
_atom_site_type_symbol
_atom_site_fract_x
_atom_site_fract_y
_atom_site_fract_z
Si1 Si 0.0000 0.0000 0.0000
Os1 Os 0.0000 0.0000 0.2719
Os2 Os 0.3333 0.6667 0.8024
Br1 Br 0.6667 0.3333 0.5192
```

For the final energy, the calculation gives -6.734 eV/atom.

=====

No. 3
Density functional theory data (PBE) for crystalline BaPdPb2Au at its relaxed geometry.

CIF file:
```
data_BaPdPb2Au
_cell_length_a 4.8256
_cell_length_b 4.8256
_cell_length_c 12.2096
_cell_angle_alpha 90.00
_cell_angle_beta 90.00
_cell_angle_gamma 90.00
_space_group_name_H-M_alt 'I 4 m m'
_space_group_IT_number 107
_space_group_name_Hall 'I 4 -2'
loop_
_atom_site_label
_atom_site_type_symbol
_atom_site_fract_x
_atom_site_fract_y
_atom_site_fract_z
Ba1 Ba 0.0000 0.0000 0.0000
Pd1 Pd 0.0000 0.0000 0.6274
Pb1 Pb 0.0000 0.5000 0.2495
Au1 Au 0.0000 0.0000 0.4025
```

For the energy above the most stable polymorph in this dataset, the calculation gives 0.023 eV per atom. For the final energy, the calculation gives -4.013 eV/atom.

=====

No. 4
Density functional theory data (PBE) for crystalline PmAgSO at its relaxed geometry.

CIF file:
```
data_PmAgSO
_cell_length_a 4.0037
_cell_length_b 4.0037
_cell_length_c 8.9222
_cell_angle_alpha 90.00
_cell_angle_beta 90.00
_cell_angle_gamma 90.00
_space_group_name_H-M_alt 'P 4/n m m'
_space_group_IT_number 129
loop_
_space_group_symop_operation_xyz
'x,y,z'
'-x,-y,-z'
'-y+1/2,x,z'
'y+1/2,-x,-z'
'-x+1/2,-y+1/2,z'
'x+1/2,y+1/2,-z'
'y,-x+1/2,z'
'-y,x+1/2,-z'
'x+1/2,-y,-z'
'-x+1/2,y,z'
'-y,-x,-z'
'y,x,z'
'-x,y+1/2,-z'
'x,-y+1/2,z'
'y+1/2,x+1/2,-z'
'-y+1/2,-x+1/2,z'
loop_
_atom_site_label
_atom_site_type_symbol
_atom_site_fract_x
_atom_site_fract_y
_atom_site_fract_z
Pm1 Pm 0.2500 0.2500 0.1315
Ag1 Ag 0.2500 0.7500 0.5000
S1 S 0.2500 0.2500 0.7006
O1 O 0.2500 0.7500 0.0000
```

For the energy above the most stable polymorph in this dataset, the calculation gives 0.014 eV per atom. For the final energy, the calculation gives -6.086 eV/atom.